An optimized crystal structure of NdSm6Er. Source: Alexandria, functional GGA-PBE.

The structure in CIF format:
```
data_NdSm6Er
_chemical_formula_sum 'Nd2 Sm12 Er2'
_cell_length_a 8.993
_cell_length_b 9.386
_cell_length_c 6.621
_cell_angle_alpha 90.00
_cell_angle_beta 98.08
_cell_angle_gamma 90.00
_symmetry_space_group_name_H-M 'C 1 2/m 1'
_symmetry_Int_Tables_number 12
_symmetry_space_group_name_Hall '-C 2y'
loop_
_atom_site_label
_atom_site_fract_x
_atom_site_fract_y
_atom_site_fract_z
Nd1 0.000 0.000 0.000
Sm1 0.154 0.500 0.193
Sm2 0.164 0.319 0.706
Er1 0.000 0.000 0.500
```

Calculated values
Total magnetic moment ... 0.00 μB per formula unit
N(E_F) ... 13.3 states/eV/f.u.
Energy relative to the lowest polymorph listed for this composition ... 127 meV per atom
Calculated total energy ... -4.56 eV per atom
V ... 34.583 Å³/atom